Record 1
## La3Ni3Ge2 (PBE)

Data for a geometry-optimized La3Ni3Ge2 structure.

a b c (Å): 4.2507 5.6184 16.1710
angles (deg): 90.00 90.00 112.23
Closest atoms and distances in Å follow each position.
Fractional positions:
La (0.1422, 0.2844, 0.9209)  5 Ni 2.99-3.18, 4 Ge 3.09-3.23
Ni (0.5719, 0.1438, 0.4398)  1 Ni 2.45, 2 Ge 2.47
La (0.4553, 0.9107, 0.7500)  5 Ni 2.96-3.09, 4 Ge 3.17
Ge (0.1476, 0.2951, 0.3791)  3 Ni 2.40-2.47
La (0.8578, 0.7156, 0.0791)  5 Ni 2.99-3.18, 4 Ge 3.09-3.23
Ni (0.2605, 0.5210, 0.2500)  2 Ge 2.40
Ni (0.5719, 0.1438, 0.0602)  1 Ni 2.45, 2 Ge 2.47
La (0.1422, 0.2844, 0.5791)  5 Ni 2.99-3.18, 4 Ge 3.09-3.23
Ge (0.1476, 0.2951, 0.1209)  3 Ni 2.40-2.47
Ni (0.4281, 0.8562, 0.9398)  1 Ni 2.45, 2 Ge 2.47
Ni (0.4281, 0.8562, 0.5602)  1 Ni 2.45, 2 Ge 2.47
Ge (0.8524, 0.7049, 0.6209)  3 Ni 2.40-2.47
Ni (0.7395, 0.4790, 0.7500)  2 Ge 2.40
Ge (0.8524, 0.7049, 0.8791)  3 Ni 2.40-2.47
La (0.5447, 0.0893, 0.2500)  5 Ni 2.96-3.09, 4 Ge 3.17
La (0.8578, 0.7156, 0.4209)  5 Ni 2.99-3.18, 4 Ge 3.09-3.23

Summary:
- calculated density (g/cm3) = 6.86
- formation enthalpy at 0 K (meV per atom) = -573

---

Record 2
## Y2ZrRh (PBE)

Data for a geometry-optimized Y2ZrRh structure.

a b c (Å): 8.1631 8.1631 6.5323
angles (deg): 51.33 51.33 90.00
Closest atoms and distances in Å follow each position.
Fractional positions:
Y (0.0674, 0.6250, 0.2500)  2 Rh 2.69
Zr (0.2500, 0.7500, 0.5000)  2 Rh 3.06, 4 Y 3.32
Rh (0.0000, 0.0000, 0.0000)  4 Y 2.69
Rh (0.7500, 0.2500, 0.5000)  4 Y 2.69
Y (0.3750, 0.3174, 0.7500)  2 Rh 2.69
Y (0.6826, 0.1250, 0.2500)  2 Rh 2.69
Y (0.8750, 0.9326, 0.7500)  2 Rh 2.69
Zr (0.5000, 0.5000, 0.0000)  2 Rh 3.06, 4 Y 3.32

Summary:
- calculated density (g/cm3) = 6.06
- formation enthalpy at 0 K (meV per atom) = -33
- excess energy over the best structure of this formula in the dataset (eV/atom) = 0.360